(1)
Below is an optimized crystal structure of Sr3LaPt, with properties calculated at the PBE-GGA level.

POSCAR file:
```
Sr3LaPt
1.0
5.959 0.000 0.000
0.000 5.959 0.000
0.000 0.000 5.959
Sr La Pt
3 1 1
direct
0.000 0.000 0.500 Sr
0.000 0.500 0.000 Sr
0.500 0.000 0.000 Sr
0.500 0.500 0.500 La
0.000 0.000 0.000 Pt
```

Values from the calculation:
E_form	-223	meV/atom
DOS(E_F)	9.079	states/eV/f.u.
crystal system	cubic

(2)
Below is an optimized crystal structure of Al2CuMoPd, with properties calculated at the PBE-GGA level.

POSCAR file:
```
Al2CuMoPd
1.0
4.361 0.000 0.000
0.000 4.361 0.000
0.000 0.000 4.623
Al Cu Mo Pd
2 1 1 1
direct
0.000 0.500 0.000 Al
0.500 0.000 0.000 Al
0.000 0.000 0.000 Cu
0.000 0.000 0.500 Mo
0.500 0.500 0.500 Pd
```

Values from the calculation:
E_form	646	meV/atom
DOS(E_F)	6.110	states/eV/f.u.
crystal system	tetragonal

(3)
Below is an optimized crystal structure of Hf2FeAg, with properties calculated at the PBE-GGA level.

POSCAR file:
```
Hf2FeAg
1.0
0.000 3.280 3.280
3.280 0.000 3.280
3.280 3.280 0.000
Hf Fe Ag
2 1 1
direct
0.250 0.250 0.250 Hf
0.750 0.750 0.750 Hf
0.000 0.000 0.000 Fe
0.500 0.500 0.500 Ag
```

Values from the calculation:
E_form	-13	meV/atom
DOS(E_F)	3.665	states/eV/f.u.
crystal system	cubic

(4)
Below is an optimized crystal structure of Sc2TlCl, with properties calculated at the PBE-GGA level.

POSCAR file:
```
Sc2TlCl
1.0
3.126 -1.807 0.000
3.126 1.807 0.000
-2.091 0.000 7.541
Sc Tl Cl
2 1 1
direct
0.233 0.233 0.201 Sc
0.767 0.767 0.799 Sc
0.000 0.000 0.500 Tl
0.500 0.500 0.000 Cl
```

Values from the calculation:
DOS(E_F)	2.467	states/eV/f.u.
raw formation energy	-0.655	eV per atom
crystal system	monoclinic

(5)
Below is an optimized crystal structure of CdAsSe, with properties calculated at the PBE-GGA level.

POSCAR file:
```
CdAsSe
1.0
0.000 3.332 3.332
3.332 0.000 3.332
3.332 3.332 0.000
Cd As Se
1 1 1
direct
0.000 0.000 0.000 Cd
0.750 0.750 0.750 As
0.250 0.250 0.250 Se
```

Values from the calculation:
DOS(E_F)	2.064	states/eV/f.u.
raw formation energy	0.252	eV per atom
crystal system	cubic

(6)
Below is an optimized crystal structure of MgOsSCl2, with properties calculated at the PBE-GGA level.

POSCAR file:
```
MgOsSCl2
1.0
4.589 0.000 0.000
0.000 4.589 0.000
0.000 0.000 5.326
Mg Os S Cl
1 1 1 2
direct
0.000 0.000 0.000 Mg
0.500 0.500 0.500 Os
0.000 0.000 0.500 S
0.000 0.500 0.000 Cl
0.500 0.000 0.000 Cl
```

Values from the calculation:
DOS(E_F)	4.738	states/eV/f.u.
raw formation energy	0.499	eV per atom
crystal system	tetragonal

(7)
Below is an optimized crystal structure of AcPuSi2Pd5, with properties calculated at the PBE-GGA level.

POSCAR file:
```
AcPuSi2Pd5
1.0
4.258 0.000 0.000
0.000 4.258 0.000
0.000 0.000 10.937
Ac Pu Si Pd
1 1 2 5
direct
0.000 0.000 0.000 Ac
0.000 0.000 0.500 Pu
0.500 0.500 0.216 Si
0.500 0.500 0.784 Si
0.000 0.500 0.312 Pd
0.000 0.500 0.688 Pd
0.500 0.000 0.312 Pd
0.500 0.000 0.688 Pd
0.500 0.500 0.000 Pd
```

Values from the calculation:
DOS(E_F)	18.918	states/eV/f.u.
raw formation energy	-0.538	eV per atom
crystal system	tetragonal

(8)
Below is an optimized crystal structure of NiH2Os, with properties calculated at the PBE-GGA level.

POSCAR file:
```
NiH2Os
1.0
0.000 2.514 2.514
2.514 0.000 2.514
2.514 2.514 0.000
Ni H Os
1 2 1
direct
0.000 0.000 0.000 Ni
0.250 0.250 0.250 H
0.750 0.750 0.750 H
0.500 0.500 0.500 Os
```

Values from the calculation:
DOS(E_F)	4.644	states/eV/f.u.
crystal system	cubic
calculated total energy	-5.136	eV per atom

(9)
Below is an optimized crystal structure of Tc2RhBr, with properties calculated at the PBE-GGA level.

POSCAR file:
```
Tc2RhBr
1.0
2.894 0.000 0.000
0.000 3.957 0.000
-1.443 0.000 5.610
Tc Rh Br
2 1 1
direct
0.000 0.000 0.000 Tc
0.401 0.500 0.797 Tc
0.774 0.000 0.544 Rh
0.626 0.500 0.238 Br
```

Values from the calculation:
DOS(E_F)	4.668	states/eV/f.u.
raw formation energy	0.583	eV per atom
crystal system	monoclinic

(10)
Below is an optimized crystal structure of Ce2Pu2MnGe4, with properties calculated at the PBE-GGA level.

POSCAR file:
```
Ce2Pu2MnGe4
1.0
-3.534 3.534 3.941
3.534 -3.534 3.941
3.534 3.534 -3.941
Ce Pu Mn Ge
2 2 1 4
direct
0.250 0.750 0.500 Ce
0.750 0.250 0.500 Ce
0.190 0.190 0.000 Pu
0.810 0.810 0.000 Pu
0.500 0.500 0.000 Mn
0.259 0.259 0.518 Ge
0.259 0.741 0.000 Ge
0.741 0.259 0.000 Ge
0.741 0.741 0.482 Ge
```

Values from the calculation:
E_form	-405	meV/atom
DOS(E_F)	23.586	states/eV/f.u.
crystal system	tetragonal

(11)
Below is an optimized crystal structure of Nb2Hg2Br7, with properties calculated at the PBE-GGA level.

POSCAR file:
```
Nb2Hg2Br7
1.0
3.933 -6.667 0.000
3.933 6.667 0.000
-1.539 0.000 9.777
Nb Hg Br
2 2 7
direct
0.177 0.177 0.066 Nb
0.823 0.823 0.934 Nb
0.205 0.795 0.500 Hg
0.795 0.205 0.500 Hg
0.078 0.408 0.174 Br
0.095 0.095 0.810 Br
0.408 0.078 0.174 Br
0.500 0.500 0.000 Br
0.592 0.922 0.826 Br
0.905 0.905 0.190 Br
0.922 0.592 0.826 Br
```

Values from the calculation:
DOS(E_F)	0.419	states/eV/f.u.
raw formation energy	-0.634	eV per atom
crystal system	monoclinic

(12)
Below is an optimized crystal structure of ZnB3As, with properties calculated at the PBE-GGA level.

POSCAR file:
```
ZnB3As
1.0
4.075 0.000 0.000
0.000 4.075 0.000
0.000 0.000 4.075
Zn B As
1 3 1
direct
0.000 0.000 0.000 Zn
0.000 0.000 0.500 B
0.000 0.500 0.000 B
0.500 0.000 0.000 B
0.500 0.500 0.500 As
```

Values from the calculation:
E_form	1943	meV/atom
DOS(E_F)	1.868	states/eV/f.u.
crystal system	cubic

(13)
Below is an optimized crystal structure of CdAgOs2, with properties calculated at the PBE-GGA level.

POSCAR file:
```
CdAgOs2
1.0
2.707 0.000 0.000
0.000 2.707 0.000
0.000 0.000 9.008
Cd Ag Os
1 1 2
direct
0.000 0.000 0.000 Cd
0.000 0.000 0.500 Ag
0.500 0.500 0.254 Os
0.500 0.500 0.746 Os
```

Values from the calculation:
E_form	925	meV/atom
DOS(E_F)	5.894	states/eV/f.u.
crystal system	tetragonal